Here is Li3PtN after structural relaxation from Alexandria. Energies are from PBE.

Structure (CIF):
```
data_Li3PtN
_symmetry_space_group_name_H-M 'P m -3 m'
_symmetry_Int_Tables_number 221
_symmetry_space_group_name_Hall '-P 4 2 3'
_cell_length_a 4.711
_cell_length_b 4.711
_cell_length_c 4.711
_cell_angle_alpha 90.00
_cell_angle_beta 90.00
_cell_angle_gamma 90.00
loop_
_atom_site_label
_atom_site_type_symbol
_atom_site_fract_x
_atom_site_fract_y
_atom_site_fract_z
_atom_site_occupancy
Li1 Li 0.000 0.000 0.500 1
Pt1 Pt 0.000 0.000 0.000 1
N1 N 0.500 0.500 0.500 1
```

For the uncorrected energy, the calculation gives -16.31 eV for the cell shown. For the polymorph energy (0 for the lowest one), the calculation gives 73.9 kJ/mol of atoms. The calculation puts the density of states at the Fermi level at 2.49 states/eV/f.u. As for the total magnetization: 2.0 μB per cell.